Entry from Alexandria via LeMat-Bulk: a relaxed Mg2TeRu crystal (GGA-PBE).

Output
Final energy = -4.062 eV/atom
N(E_F) = 2.35 states/eV per cell
Magnetic moment = 0.00 μB per formula unit

```
data_Mg2TeRu
_chemical_formula_sum 'Mg2 Te1 Ru1'
_symmetry_space_group_name_H-M 'P 1'
_symmetry_Int_Tables_number 1
_cell_length_a 6.720
_cell_length_b 6.720
_cell_length_c 6.720
_cell_angle_alpha 152.57
_cell_angle_beta 141.32
_cell_angle_gamma 48.07
loop_
_symmetry_equiv_pos_as_xyz
'x,y,z'
loop_
_atom_site_label
_atom_site_fract_x
_atom_site_fract_y
_atom_site_fract_z
_atom_site_occupancy
Te1 0.321 0.821 0.500 1
Ru1 0.492 0.492 0.000 1
Mg1 0.679 0.179 0.500 1
Mg2 0.008 0.008 0.000 1
```